10
Lattice="4.435 0.000 0.000 0.000 6.843 0.000 0.000 0.000 8.367" Properties=species:S:1:pos:R:3 comment="Ho3ZnRh | Alexandria | PBE | relaxed" relative_energy_mev_per_atom=76 rho_g_cm3=8.67 magmom_total_mub_per_cell=0.0 e_form_ev_per_atom=-0.437 final_energy_ha_per_atom=-0.18038 pbc="T T T"
Ho 1.109 0.010 1.365
Ho 1.109 1.711 4.648
Ho 1.109 3.412 1.365
Ho 3.327 3.432 7.001
Ho 3.327 5.132 3.719
Ho 3.327 6.833 7.001
Zn 1.109 5.132 5.680
Zn 3.327 1.711 2.686
Rh 1.109 1.711 7.435
Rh 3.327 5.132 0.931



11
Lattice="3.031 -5.232 0.000 3.031 5.232 0.000 -1.947 0.000 7.034" Properties=species:S:1:pos:R:3 comment="Cs2Tb2TeO6 | Alexandria | PBE | relaxed" rho_g_cm3=6.01 magmom_total_mub_per_cell=0.0 final_energy_ha_per_atom=-0.22807 raw_formation_energy_ev_per_atom=-2.2190 pbc="T T T"
Cs 3.031 3.494 0.000
Cs 3.031 -3.494 0.000
Tb 2.057 1.732 3.517
Tb 2.057 -1.732 3.517
Te -0.973 0.000 3.517
O 0.000 1.716 4.625
O 0.962 0.000 2.409
O 0.000 -1.716 4.625
O 4.114 1.716 2.409
O 3.152 0.000 4.625
O 4.114 -1.716 2.409